Mn2ReBr, relaxed, DFT PBE; energy relative to the elements, uncorrected = 0.557 eV/atom; space-group type = No. 99; D(E_F) = 0.66 states/eV per atom; final energy = -7.56 eV/atom; energy above the most stable polymorph in this dataset = 227 meV/atom
1.0
-0.995 2.866 -0.039
-1.881 -0.684 -2.279
-5.036 -1.685 4.663
Mn Re Br
2 1 1
direct
0.500 0.500 0.260
0.000 0.000 0.032
0.000 0.000 0.432
0.500 0.500 0.776